Entry 1:
Material: CrSb3
Method: DFT, meta-GGA SCAN
State: single point on PBEsol structure Values from VASP.

Geometry as Quantum ESPRESSO input:
```
&SYSTEM
  ibrav = 0, nat = 4, ntyp = 2
/
ATOMIC_SPECIES
Cr 52.00 Cr.upf
Sb 121.76 Sb.upf
CELL_PARAMETERS angstrom
-0.590 -0.819 -3.115
1.660 -2.993 0.473
-6.648 -3.349 2.139
ATOMIC_POSITIONS crystal
Cr 0.000 0.000 0.000
Sb 0.500 0.500 0.802
Sb 0.000 0.000 0.500
Sb 0.500 0.500 0.198
```

Calculated values
Uncorrected energy in eV per cell: -129.3
E_form (uncorrected) in eV/atom: 0.21

Entry 2:
Material: K3GaSe3
Method: DFT, meta-GGA SCAN
State: single point on PBEsol structure Values from VASP.

Geometry as Quantum ESPRESSO input:
```
&SYSTEM
  ibrav = 0, nat = 28, ntyp = 3
/
ATOMIC_SPECIES
K 39.10 K.upf
Ga 69.72 Ga.upf
Se 78.96 Se.upf
CELL_PARAMETERS angstrom
-3.854 3.709 5.971
5.976 -4.247 4.136
8.013 10.163 -1.141
ATOMIC_POSITIONS crystal
K 0.273 0.602 0.897
K 0.227 0.898 0.397
K 0.727 0.398 0.103
K 0.773 0.102 0.603
K 0.283 0.427 0.187
K 0.217 0.073 0.687
K 0.717 0.573 0.813
K 0.783 0.927 0.313
K 0.159 0.526 0.615
K 0.341 0.974 0.115
K 0.841 0.474 0.385
K 0.659 0.026 0.885
Ga 0.103 0.164 0.935
Ga 0.397 0.336 0.435
Ga 0.897 0.836 0.065
Ga 0.603 0.664 0.565
Se 0.462 0.632 0.396
Se 0.038 0.868 0.896
Se 0.538 0.368 0.604
Se 0.962 0.132 0.104
Se 0.470 0.807 0.689
Se 0.030 0.693 0.189
Se 0.530 0.193 0.311
Se 0.970 0.307 0.811
Se 0.901 0.769 0.551
Se 0.599 0.731 0.051
Se 0.099 0.231 0.449
Se 0.401 0.269 0.949
```

Calculated values
Uncorrected energy in eV per cell: -441.0
E_form (uncorrected) in eV/atom: -1.24

Entry 3:
Material: Ba2LiSb
Method: DFT, meta-GGA SCAN
State: single point on PBEsol structure Values from VASP.

Geometry as Quantum ESPRESSO input:
```
&SYSTEM
  ibrav = 0, nat = 4, ntyp = 3
/
ATOMIC_SPECIES
Ba 137.33 Ba.upf
Li 6.94 Li.upf
Sb 121.76 Sb.upf
CELL_PARAMETERS angstrom
4.987 0.000 0.000
2.494 4.319 0.000
2.494 1.440 9.105
ATOMIC_POSITIONS crystal
Ba 0.767 0.767 0.699
Ba 0.233 0.233 0.301
Li 0.000 0.000 0.000
Sb 0.500 0.500 0.500
```

Calculated values
Uncorrected energy in eV per cell: -121.0
E_form (uncorrected) in eV/atom: -0.55

Entry 4:
Material: ErGaO3
Method: DFT, meta-GGA SCAN
State: single point on PBEsol structure Values from VASP.

Geometry as Quantum ESPRESSO input:
```
&SYSTEM
  ibrav = 0, nat = 20, ntyp = 3
/
ATOMIC_SPECIES
O 16.00 O.upf
Ga 69.72 Ga.upf
Er 167.26 Er.upf
CELL_PARAMETERS angstrom
5.194 0.000 0.000
0.000 5.527 0.000
0.000 0.000 7.482
ATOMIC_POSITIONS crystal
O 0.691 0.306 0.442
O 0.191 0.194 0.558
O 0.809 0.806 0.058
O 0.309 0.694 0.942
O 0.309 0.694 0.558
O 0.809 0.806 0.442
O 0.191 0.194 0.942
O 0.691 0.306 0.058
O 0.116 0.460 0.250
O 0.616 0.040 0.750
O 0.384 0.960 0.250
O 0.884 0.540 0.750
Ga 0.000 0.500 0.500
Ga 0.500 0.000 0.500
Ga 0.500 0.000 0.000
Ga 0.000 0.500 0.000
Er 0.479 0.427 0.750
Er 0.979 0.073 0.250
Er 0.021 0.927 0.750
Er 0.521 0.573 0.250
```

Calculated values
Uncorrected energy in eV per cell: -402.3
E_form (uncorrected) in eV/atom: -3.04

Entry 5:
Material: Tl3GeAs
Method: DFT, meta-GGA SCAN
State: single point on PBEsol structure Values from VASP.

Geometry as Quantum ESPRESSO input:
```
&SYSTEM
  ibrav = 0, nat = 5, ntyp = 3
/
ATOMIC_SPECIES
Tl 204.38 Tl.upf
Ge 72.64 Ge.upf
As 74.92 As.upf
CELL_PARAMETERS angstrom
-0.348 -3.152 -4.214
4.982 -1.560 0.755
-1.698 -3.930 3.080
ATOMIC_POSITIONS crystal
Tl 0.000 0.500 0.000
Tl 0.000 0.000 0.500
Tl 0.500 0.000 0.000
Ge 0.000 0.000 0.000
As 0.500 0.500 0.500
```

Calculated values
Uncorrected energy in eV per cell: -253.8
ΔE_f in kJ/mol of formula units: 243

Entry 6:
Material: KTc2Sb
Method: DFT, meta-GGA SCAN
State: single point on PBEsol structure Values from VASP.

Geometry as Quantum ESPRESSO input:
```
&SYSTEM
  ibrav = 0, nat = 4, ntyp = 3
/
ATOMIC_SPECIES
K 39.10 K.upf
Sb 121.76 Sb.upf
Tc 98.00 Tc.upf
CELL_PARAMETERS angstrom
2.732 0.013 0.000
0.024 5.519 0.000
-1.378 -2.766 4.938
ATOMIC_POSITIONS crystal
K 0.500 0.000 0.000
Sb 0.000 0.500 0.000
Tc 0.000 0.000 0.500
Tc 0.500 0.500 0.500
```

Calculated values
Uncorrected energy in eV per cell: -110.9
E_form (uncorrected) in eV/atom: 1.21